Entry 1:
Material: Tm6Te5Se
Method: DFT, PBE
State: optimized geometry

For the total magnetization, the calculation gives 0.00 μB per cell. The value obtained for the formation energy without anion corrections is -1.265 eV per atom. The total DFT energy (no corrections) is -5.100 eV/atom.

The space group is C2/m (No. 12) and the conventional cell measures 7.3831, 12.8383 and 7.3512 Å, with angles of 90.00, 109.40 and 90.00 degrees. The inequivalent atoms are Tm at (0.2175, 0.0000, 0.2586), Tm at (0.2237, 0.1514, 0.7264), Te at (0.0000, 0.1788, 0.0000), Te at (0.0000, 0.3373, 0.5000), Te at (0.0000, 0.5000, 0.0000) and Se at (0.0000, 0.0000, 0.5000).

***

Entry 2:
Material: CaSn3P4O14
Method: DFT, PBE
State: optimized geometry

For the total magnetization, the calculation gives 0.00 μB per cell. The value obtained for the formation energy without anion corrections is -2.079 eV per atom. The total DFT energy (no corrections) is -6.855 eV/atom.

The space group is P2_1/c (No. 14) and the conventional cell measures 8.6118, 7.5195 and 10.4640 Å, with angles of 90.00, 105.22 and 90.00 degrees. The inequivalent atoms are Ca at (0.0000, 0.0000, 0.0000), Sn at (0.2950, 0.1366, 0.4705), Sn at (0.5000, 0.0000, 0.0000), P at (0.0651, 0.0617, 0.6864), P at (0.3151, 0.7084, 0.1745), O at (0.1185, 0.0906, 0.8357), O at (0.1179, 0.5441, 0.8637), O at (0.1309, 0.2045, 0.6064), O at (0.1334, 0.6288, 0.1550), O at (0.2799, 0.6103, 0.6050), O at (0.3988, 0.5787, 0.0976) and O at (0.4030, 0.7110, 0.3202).

***

- Number 2 is which compound?
  CaSn3P4O14